Entry 1
VASP calculation (PBE) on a relaxed structure of LaTaBr2.

## Properties
D(E_F): 4.4 states/eV/f.u.

Cell: 3.3207 6.2090 4.9122 Å, 90.00 90.00 90.00°
Fractional coordinates of all 4 atoms:
Br: 0.5000 0.5000 0.0000
Ta: 0.0000 0.5000 0.5000
Br: 0.0000 0.0000 0.0000
La: 0.5000 0.0000 0.5000


Entry 2
VASP calculation (PBE) on a relaxed structure of LaTaBr2.

## Properties
D(E_F): 4.4 states/eV/f.u.

Cell: 10.0704 10.0704 10.0704 Å, 19.55 19.55 19.55°
Fractional coordinates of all 4 atoms:
Br: 0.9123 0.9123 0.9123
Ta: 0.0000 0.0000 0.0000
La: 0.5000 0.5000 0.5000
Br: 0.0877 0.0877 0.0877


Entry 3
VASP calculation (PBE) on a relaxed structure of LaTaBr2.

## Properties
D(E_F): 3.5 states/eV/f.u.

Cell: 4.9477 4.9477 3.7306 Å, 90.00 90.00 89.99°
Site moments in Bohr magnetons follow the coordinates.
Fractional coordinates of all 4 atoms:
Br: 0.5000 0.5000 0.0000  0.01
Br: 0.0000 0.0000 0.0000  0.01
Ta: 0.0000 0.5000 0.5000  0.82
La: 0.5000 0.0000 0.5000  0.02


Entry 4
VASP calculation (PBE) on a relaxed structure of LaTaBr2.

## Properties
D(E_F): 4.5 states/eV/f.u.

Cell: 3.4120 3.4119 10.0151 Å, 70.26 90.00 90.00°
Fractional coordinates of all 4 atoms:
Br: 0.5000 0.2024 0.2948
La: 0.0000 0.4878 0.5108
Ta: 0.5000 0.7330 0.7684
Br: 0.0000 0.0768 0.9260


Q: Which of them is the most stable? A: entry 4.


Entry 1
VASP calculation (PBE) on a relaxed structure of LaTaBr2.

## Properties
D(E_F): 2.7 states/eV/f.u.

Cell: 6.3205 6.3205 6.3205 Å, 139.97 139.97 57.91°
Site moments in Bohr magnetons follow the coordinates.
Fractional coordinates of all 4 atoms:
Br: 0.0000 0.0000 0.0000  0.03
La: 0.5000 0.5000 0.0000  0.25
Ta: 0.7500 0.2500 0.5000  1.87
Br: 0.2500 0.7500 0.5000  0.03


Entry 2
VASP calculation (PBE) on a relaxed structure of LaTaBr2.

## Properties
D(E_F): 1.1 states/eV/f.u.

Cell: 6.8949 6.8949 7.2586 Å, 48.93 48.93 28.19°
Fractional coordinates of all 4 atoms:
Ta: 0.3035 0.3035 0.0648
Br: 0.7527 0.7527 0.8443
Br: 0.9122 0.9122 0.1746
La: 0.5317 0.5317 0.4164


Entry 3
VASP calculation (PBE) on a relaxed structure of LaTaBr2.

## Properties
D(E_F): 2.9 states/eV/f.u.

Cell: 7.3627 7.3627 7.3627 Å, 151.73 140.14 49.58°
Fractional coordinates of all 4 atoms:
Br: 0.0989 0.0989 0.0000
La: 0.7500 0.2500 0.5000
Br: 0.4011 0.4011 0.0000
Ta: 0.2500 0.7500 0.5000


Q: Which of them is the most stable? A: entry 3.


Entry 1
VASP calculation (PBE) on a relaxed structure of LaTaBr2.

## Properties
D(E_F): 3.0 states/eV/f.u.

Cell: 4.4704 3.3823 6.3219 Å, 89.96 90.00 90.00°
Fractional coordinates of all 4 atoms:
Br: 0.0000 0.7497 0.5084
Br: 0.0000 0.7503 0.9916
Ta: 0.5000 0.7500 0.7500
La: 0.5000 0.2500 0.2500


Entry 2
VASP calculation (PBE) on a relaxed structure of LaTaBr2.

## Properties
D(E_F): 3.3 states/eV/f.u.

Cell: 3.4934 3.4934 9.7138 Å, 90.00 90.00 124.16°
Site moments in Bohr magnetons follow the coordinates.
Fractional coordinates of all 4 atoms:
La: 0.5000 0.5000 0.2500  0.02
Ta: 0.5000 0.5000 0.7500  -0.15
Br: 0.0000 0.0000 0.9737  0.00
Br: 0.0000 0.0000 0.5263  0.00


Entry 3
VASP calculation (PBE) on a relaxed structure of LaTaBr2.

## Properties
D(E_F): 2.9 states/eV/f.u.

Cell: 3.4333 3.4333 10.5388 Å, 90.00 90.00 90.00°
Site moments in Bohr magnetons follow the coordinates.
Fractional coordinates of all 4 atoms:
Br: 0.0000 0.0000 0.0721  -0.01
La: 0.5000 0.5000 0.2500  0.05
Ta: 0.5000 0.5000 0.7500  -1.58
Br: 0.0000 0.0000 0.4279  -0.01


Q: Which of them is the most stable? A: entry 1.


Entry 1
VASP calculation (PBE) on a relaxed structure of LaTaBr2.

## Properties
D(E_F): 3.1 states/eV/f.u.

Cell: 4.8564 4.8564 9.9798 Å, 75.92 75.92 90.00°
Site moments in Bohr magnetons follow the coordinates.
Fractional coordinates of all 8 atoms:
La: 0.5000 0.5000 0.0000  0.08
Br: 0.6594 0.1250 0.2500  0.00
Ta: 0.7500 0.2500 0.5000  0.87
Ta: 0.0000 0.0000 0.0000  0.88
Br: 0.3750 0.3406 0.7500  0.00
Br: 0.0906 0.6250 0.2500  0.00
La: 0.2500 0.7500 0.5000  0.08
Br: 0.8750 0.9094 0.7500  0.00


Entry 2
VASP calculation (PBE) on a relaxed structure of LaTaBr2.

## Properties
D(E_F): 4.1 states/eV/f.u.

Cell: 6.3749 6.3749 6.3749 Å, 148.83 133.45 57.09°
Fractional coordinates of all 4 atoms:
Br: 0.7523 0.2523 0.5000
Br: 0.0386 0.0386 0.0000
Ta: 0.2311 0.7311 0.5000
La: 0.4780 0.4780 0.0000


Q: Which of them is the most stable? A: entry 2.


Entry 1
VASP calculation (PBE) on a relaxed structure of LaTa3Br.

## Properties
D(E_F): 6.7 states/eV/f.u.

Cell: 5.0655 5.0655 5.0655 Å, 90.00 90.00 90.00°
Fractional coordinates of all 5 atoms:
La: 0.0000 0.0000 0.0000
Ta: 0.0000 0.5000 0.0000
Ta: 0.0000 0.0000 0.5000
Ta: 0.5000 0.0000 0.0000
Br: 0.5000 0.5000 0.5000


Entry 2
VASP calculation (PBE) on a relaxed structure of LaTa3Br.

## Properties
D(E_F): 6.4 states/eV/f.u.

Cell: 4.8834 4.8834 4.8834 Å, 90.00 90.00 90.00°
Fractional coordinates of all 5 atoms:
Br: 0.0000 0.0000 0.0000
Ta: 0.5000 0.0000 0.0000
La: 0.5000 0.5000 0.5000
Ta: 0.0000 0.0000 0.5000
Ta: 0.0000 0.5000 0.0000


Q: Which of them is the most stable? A: entry 2.


Entry 1
VASP calculation (PBE) on a relaxed structure of LaTbBr6.

## Properties
D(E_F): 0.0 states/eV/f.u.

Cell: 7.5159 7.5159 7.1879 Å, 97.72 97.72 122.87°
Fractional coordinates of all 8 atoms:
La: 0.0000 0.0000 0.0000
Br: 0.1154 0.4090 0.2593
Br: 0.2526 0.2526 0.7423
Br: 0.4090 0.1154 0.2593
Tb: 0.5000 0.5000 0.5000
Br: 0.7474 0.7474 0.2577
Br: 0.5910 0.8846 0.7407
Br: 0.8846 0.5910 0.7407


Entry 2
VASP calculation (PBE) on a relaxed structure of LaTbBr6.

## Properties
D(E_F): 0.0 states/eV/f.u.

Cell: 7.2093 7.2084 7.8172 Å, 62.52 62.53 60.00°
Fractional coordinates of all 8 atoms:
Br: 0.9160 0.5979 0.2443
Br: 0.2420 0.9159 0.2441
Br: 0.5981 0.2417 0.2443
La: 0.5000 0.5000 0.5000
Br: 0.0840 0.4021 0.7557
Br: 0.7580 0.0841 0.7559
Br: 0.4019 0.7583 0.7557
Tb: 0.0000 0.0000 0.0000


Q: Which of them is the most stable? A: entry 1.